Material: V2CuC
Method: DFT, PBE
State: optimized geometry

The structure in extended XYZ format:
```
8
Lattice="-5.768 -0.413 -1.824 -0.458 -5.422 2.676 -3.864 -1.807 2.547" Properties=species:S:1:pos:R:3 pbc="T T T"
Cu 0.000 0.000 0.000
V -8.319 -6.137 2.496
C -3.718 -5.073 2.825
V -4.284 -1.363 -0.060
Cu -6.373 -2.569 0.574
V -5.260 -3.867 2.390
C -3.113 -2.917 0.426
V -2.318 -3.917 1.972
```

volume: 11.5 Å³ per atom
N(E_F): 0.792 states/eV/atom
crystal system: tetragonal
calculated formation energy: 28.8 kJ per mole of atoms
electronic total energy: -60.7 eV for the cell shown